1.
{"formula": "BaMg6Ag3", "functional": "PBE", "state": "optimized geometry", "lattice": [[4.523, 0.000, 0.000], [0.000, 10.331, -0.332], [0.000, 1.639, 10.583]], "species": ["Ag", "Ag", "Ag", "Ag", "Ag", "Ag", "Ba", "Ba", "Mg", "Mg", "Mg", "Mg", "Mg", "Mg", "Mg", "Mg", "Mg", "Mg", "Mg", "Mg"], "fractional_positions": [[0.250, 0.190, 0.538], [0.750, 0.412, 0.843], [0.750, 0.180, 0.159], [0.250, 0.820, 0.841], [0.250, 0.588, 0.157], [0.750, 0.810, 0.462], [0.250, 0.923, 0.206], [0.750, 0.077, 0.794], [0.250, 0.558, 0.902], [0.250, 0.320, 0.293], [0.250, 0.380, 0.700], [0.750, 0.680, 0.707], [0.750, 0.736, 0.001], [0.750, 0.377, 0.513], [0.750, 0.620, 0.300], [0.750, 0.442, 0.098], [0.250, 0.623, 0.487], [0.750, 0.091, 0.422], [0.250, 0.909, 0.578], [0.250, 0.264, 0.999]], "sg": "No. 11", "formation_energy_kcal_per_mol_atoms": -3.15, "n_ef_per_ev_fu": 5.25}



2.
{"formula": "Ba4MgAg3", "functional": "PBE", "state": "optimized geometry", "lattice": [[4.797, 0.000, 0.000], [0.000, 5.017, 0.000], [0.000, 0.000, 12.925]], "species": ["Ba", "Ba", "Ba", "Ba", "Ag", "Ag", "Ag", "Mg"], "fractional_positions": [[0.500, 0.000, 0.635], [0.000, 0.000, 0.146], [0.500, 0.500, 0.368], [0.000, 0.500, 0.850], [0.500, 0.000, 0.939], [0.000, 0.000, 0.437], [0.000, 0.500, 0.566], [0.500, 0.500, 0.058]], "sg": "No. 25", "formation_energy_kcal_per_mol_atoms": -4.79, "n_ef_per_ev_fu": 5.66}



3.
{"formula": "BaMg4Ag4", "functional": "PBE", "state": "optimized geometry", "lattice": [[-1.478, 0.341, -4.790], [7.127, -5.817, -2.613], [-5.723, -7.563, 1.227]], "species": ["Ag", "Ag", "Ag", "Ag", "Ag", "Ag", "Ag", "Ag", "Mg", "Mg", "Mg", "Mg", "Mg", "Mg", "Mg", "Mg", "Ba", "Ba"], "fractional_positions": [[0.000, 0.319, 0.799], [0.000, 0.799, 0.681], [0.500, 0.701, 0.819], [0.000, 0.681, 0.201], [0.000, 0.201, 0.319], [0.500, 0.181, 0.701], [0.500, 0.299, 0.181], [0.500, 0.819, 0.299], [0.500, 0.898, 0.614], [0.000, 0.114, 0.602], [0.500, 0.102, 0.386], [0.500, 0.614, 0.102], [0.000, 0.886, 0.398], [0.000, 0.602, 0.886], [0.000, 0.398, 0.114], [0.500, 0.386, 0.898], [0.500, 0.500, 0.500], [0.000, 0.000, 0.000]], "sg": "No. 87", "formation_energy_kcal_per_mol_atoms": -3.54, "n_ef_per_ev_fu": 4.20}